A plane-wave DFT calculation with PBE with a Hubbard U was carried out for crystalline VPb3O at its relaxed geometry.

Output
DFT total energy (eV per cell): -22.410
Distance to the lowest polymorph of the same formula (meV per atom): 0
Total moment (μB per atom): 0.794

```
VPb3O
1.0
4.9842 0.0000 0.0000
0.0000 4.9842 0.0000
0.0000 0.0000 4.9842
Pb O V
3 1 1
Cartesian
0.0000 2.4921 0.0000
0.0000 0.0000 2.4921
2.4921 0.0000 0.0000
0.0000 0.0000 0.0000
2.4921 2.4921 2.4921
```